# 1
VASP calculation (PBE-GGA) on a relaxed structure of PmYPdAu.

Values from the calculation:
Raw total energy in eV per atom: -5.731
N(E_F) in states/eV/f.u.: 2.9
Crystal system: cubic
Total magnetic moment in μB per cell: 0.00

Cell: 5.1028 5.1028 5.1028 Å, 60.00 60.00 60.00°
Atoms (fractional coordinates):
Pm 0.0000 0.0000 0.0000
Y 0.5000 0.5000 0.5000
Pd 0.2500 0.2500 0.2500
Au 0.7500 0.7500 0.7500

# 2
VASP calculation (PBE-GGA) on a relaxed structure of PmZn3PdAu.

Values from the calculation:
Raw total energy in eV per atom: -3.171
N(E_F) in states/eV/f.u.: 3.0
Crystal system: orthorhombic
Total magnetic moment in μB per cell: 0.00

Cell: 6.9252 6.9252 5.5335 Å, 90.00 90.00 108.22°
Atoms (fractional coordinates):
Pm 0.1962 0.8038 0.7500
Pm 0.8038 0.1962 0.2500
Zn 0.2484 0.2484 0.0000
Zn 0.2484 0.2484 0.5000
Zn 0.3329 0.6671 0.2500
Zn 0.6671 0.3329 0.7500
Zn 0.7516 0.7516 0.0000
Zn 0.7516 0.7516 0.5000
Pd 0.4404 0.5596 0.7500
Pd 0.5596 0.4404 0.2500
Au 0.0957 0.9043 0.2500
Au 0.9043 0.0957 0.7500

# 3
VASP calculation (PBE-GGA) on a relaxed structure of PmZn2Pd5Au.

Values from the calculation:
Raw total energy in eV per atom: -4.415
N(E_F) in states/eV/f.u.: 1.9
Crystal system: tetragonal
Total magnetic moment in μB per cell: 0.00

Cell: 4.6214 4.6214 7.5814 Å, 90.00 90.00 90.00°
Atoms (fractional coordinates):
Pm 0.0000 0.0000 0.0000
Zn 0.5000 0.5000 0.3452
Zn 0.5000 0.5000 0.6548
Pd 0.0000 0.5000 0.2458
Pd 0.0000 0.5000 0.7542
Pd 0.5000 0.0000 0.2458
Pd 0.5000 0.0000 0.7542
Pd 0.5000 0.5000 0.0000
Au 0.0000 0.0000 0.5000

# 4
VASP calculation (PBE-GGA) on a relaxed structure of PmZn5PdAu2.

Values from the calculation:
Raw total energy in eV per atom: -2.667
N(E_F) in states/eV/f.u.: 3.5
Crystal system: tetragonal
Total magnetic moment in μB per cell: 0.00

Cell: 4.9121 4.9121 7.4811 Å, 90.00 90.00 90.00°
Atoms (fractional coordinates):
Pm 0.0000 0.0000 0.0000
Zn 0.0000 0.5000 0.3089
Zn 0.0000 0.5000 0.6911
Zn 0.5000 0.0000 0.3089
Zn 0.5000 0.0000 0.6911
Zn 0.5000 0.5000 0.0000
Pd 0.0000 0.0000 0.5000
Au 0.5000 0.5000 0.3204
Au 0.5000 0.5000 0.6796

Question: raw total energy of number 3 (PmZn2Pd5Au)?
Answer: -4.415 eV per atom

Question: What is the total magnetic moment in the third record?
Answer: 0.00 μB per cell

Question: Which value of total magnetic moment does entry 4 give?
Answer: 0.00 μB per cell

Question: Among the records above, which one has the lowest N(E_F)?
Answer: PmZn2Pd5Au